Density functional theory data (PBE) for crystalline LaCuAs3 at its relaxed geometry.

**Density**: 3.95 g cm⁻³
**Energy relative to the lowest polymorph listed for this composition**: 1.305 eV per atom
**DOS(E_F)**: 6.13 states/eV/f.u.
**VASP energy**: -3.618 eV/atom

Cell: 5.640 5.640 5.640 Å, 90.00 90.00 90.00°
Atoms (fractional coordinates):
Cu 0.500 0.500 0.500
La 0.000 0.000 0.000
As 0.000 0.500 0.000
As 0.500 0.000 0.000
As 0.000 0.000 0.500

=====

Density functional theory data (PBE) for crystalline SrHgW2 at its relaxed geometry.

**Density**: 11.82 g cm⁻³
**DOS(E_F)**: 3.80 states/eV/f.u.
**VASP energy**: -6.264 eV/atom

Cell: 9.883 9.883 9.883 Å, 19.29 19.29 19.29°
Atoms (fractional coordinates):
W 0.259 0.259 0.259
Sr 0.748 0.748 0.748
W 0.983 0.983 0.983
Hg 0.510 0.510 0.510

=====

Density functional theory data (PBE) for crystalline LiMnCr2 at its relaxed geometry.

**Density**: 6.00 g cm⁻³
**Energy relative to the lowest polymorph listed for this composition**: 0.154 eV per atom
**DOS(E_F)**: 3.34 states/eV/f.u.
**VASP energy**: -7.184 eV/atom

Cell: 2.310 4.118 4.827 Å, 90.00 90.00 90.00°
Atoms (fractional coordinates):
Mn 0.500 0.500 0.750
Li 0.500 0.500 0.250
Cr 0.000 0.000 0.996
Cr 0.000 0.000 0.504

=====

Density functional theory data (PBE) for crystalline Zr2Co2Hg at its relaxed geometry.

**Density**: 8.87 g cm⁻³
**DOS(E_F)**: 5.45 states/eV/f.u.
**VASP energy**: -6.309 eV/atom

Cell: 4.533 4.533 5.576 Å, 66.02 66.02 90.00°
Atoms (fractional coordinates):
Zr 0.750 0.250 0.500
Zr 0.250 0.750 0.500
Co 0.381 0.381 0.238
Hg 0.000 0.000 0.000
Co 0.619 0.619 0.762

=====

Density functional theory data (PBE) for crystalline ScFe3P at its relaxed geometry.

**Density**: 5.74 g cm⁻³
**Energy relative to the lowest polymorph listed for this composition**: 0.000 eV per atom
**DOS(E_F)**: 4.38 states/eV/f.u.
**VASP energy**: -7.507 eV/atom

Cell: 4.130 4.130 4.130 Å, 90.00 90.00 90.00°
Atoms (fractional coordinates):
Fe 0.000 0.500 0.000
Fe 0.500 0.000 0.000
Fe 0.000 0.000 0.500
P 0.000 0.000 0.000
Sc 0.500 0.500 0.500

=====

Density functional theory data (PBE) for crystalline NpNi6Pt6 at its relaxed geometry.

**Density**: 15.70 g cm⁻³
**DOS(E_F)**: 23.56 states/eV/f.u.
**VASP energy**: -6.682 eV/atom

Cell: 4.961 6.609 6.609 Å, 82.70 67.95 67.95°
Atoms (fractional coordinates):
Ni 0.500 0.000 0.500
Pt 0.000 0.659 0.341
Ni 0.500 0.500 0.000
Pt 0.309 0.191 0.191
Ni 0.500 0.765 0.235
Ni 0.000 0.000 0.500
Pt 0.659 0.341 0.341
Pt 0.691 0.809 0.809
Ni 0.500 0.235 0.765
Np 0.000 0.000 0.000
Pt 0.000 0.341 0.659
Pt 0.341 0.659 0.659
Ni 0.000 0.500 0.000

=====

M_tot across the listed records, respectively: 0.00, 0.00, 0.18, 0.00, 0.42, 0.14 μB/atom.
Formation energy from the elements across the listed records, respectively: 4.88, 2.83, 1.60, 0.07, -0.40, -2.99 eV/f.u..